First-principles (PBE with a Hubbard U) data for a relaxed Cd3NiO crystal, as listed in the Alexandria database.

The value obtained for the total moment is 0.000 μB per formula unit. As for the density: 6.07 Mg/m³. The energy above the most stable polymorph in this dataset is 0.398 eV per atom.

It has space group Pm-3m (No. 221), with a = 4.830 Å, b = 4.830 Å, c = 4.830 Å, α = 90.00°, β = 90.00° and γ = 90.00°. The distinct sites, in fractional coordinates, are Cd at (0.000, 0.000, 0.500), Ni at (0.000, 0.000, 0.000) and O at (0.500, 0.500, 0.500).